1.
## PrTaRu (PBE-GGA)

Data for crystalline PrTaRu at its relaxed geometry.

Geometry as extended XYZ:
```
6
Lattice="4.512 0.000 0.000 0.000 4.512 0.000 0.000 0.000 6.831" Properties=species:S:1:pos:R:3 pbc="T T T"
Pr 1.128 1.128 0.957
Pr 3.384 3.384 5.873
Ta 1.128 3.384 3.415
Ta 3.384 1.128 3.415
Ru 1.128 1.128 4.697
Ru 3.384 3.384 2.134
```

Values from the calculation:
The formation enthalpy at 0 K is -198 meV/atom.

2.
## Li4HS2 (PBE-GGA)

Data for crystalline Li4HS2 at its relaxed geometry.

Geometry as extended XYZ:
```
7
Lattice="-1.836 1.836 6.614 1.836 -1.836 6.614 1.836 1.836 -6.614" Properties=species:S:1:pos:R:3 pbc="T T T"
Li 1.836 0.000 0.000
Li 0.000 0.000 2.310
Li 0.000 1.836 0.000
Li 0.000 0.000 10.918
H 0.000 0.000 0.000
S 0.000 0.000 4.799
S 0.000 0.000 8.429
```

Number 1: electronic total energy -26.50 eV per formula unit, M_tot 0.000 μB/atom. Number 2: electronic total energy -25.11 eV per formula unit, M_tot 0.000 μB/atom.